1.
The following is a PBE calculation of crystalline PuAlGa4Cu2 at its relaxed geometry, from Alexandria.

Cell lengths 4.339, 4.339, 8.975 Å; angles 76.01, 76.01, 60.00 degrees
Last column: magnetic moment on the atom in μB.
Positions (direct):
1 Ga 0.124 0.124 0.627  0.00
2 Al 0.500 0.500 0.500  0.01
3 Ga 0.876 0.876 0.373  0.00
4 Cu 0.240 0.240 0.280  0.01
5 Ga 0.396 0.396 0.813  0.01
6 Ga 0.604 0.604 0.187  0.01
7 Pu 0.000 0.000 0.000  5.30
8 Cu 0.760 0.760 0.720  0.01

formation energy = -81 meV/atom
V = 141 Å³ per cell
calculated density = 8.0 g cm⁻³

2.
The following is a PBE calculation of crystalline Pu2AlGa3Cu4 at its relaxed geometry, from Alexandria.

Cell lengths 4.149, 4.149, 10.207 Å; angles 90.00, 90.00, 90.00 degrees
Last column: magnetic moment on the atom in μB.
Positions (direct):
1 Al 0.500 0.500 0.500  -0.01
2 Cu 0.500 0.500 0.000  0.01
3 Cu 0.500 0.000 0.634  0.01
4 Pu 0.500 0.000 0.244  5.23
5 Ga 0.500 0.000 0.869  0.00
6 Pu 0.000 0.500 0.756  5.23
7 Cu 0.000 0.500 0.366  0.01
8 Cu 0.000 0.000 0.000  0.01
9 Ga 0.000 0.500 0.131  0.00
10 Ga 0.000 0.000 0.500  -0.01

formation energy = -232 meV/atom
V = 176 Å³ per cell
calculated density = 9.2 g cm⁻³

3.
The following is a PBE calculation of crystalline Pu2AlGa4Cu3 at its relaxed geometry, from Alexandria.

Cell lengths 4.127, 4.127, 10.561 Å; angles 90.00, 90.00, 90.00 degrees
Last column: magnetic moment on the atom in μB.
Positions (direct):
1 Cu 0.000 0.000 0.500  0.00
2 Ga 0.500 0.000 0.643  -0.01
3 Ga 0.500 0.500 0.000  -0.03
4 Cu 0.000 0.500 0.130  0.01
5 Pu 0.000 0.500 0.756  5.23
6 Pu 0.500 0.000 0.244  5.23
7 Cu 0.500 0.000 0.870  0.01
8 Ga 0.000 0.000 0.000  -0.01
9 Ga 0.000 0.500 0.357  -0.01
10 Al 0.500 0.500 0.500  -0.02

formation energy = -267 meV/atom
V = 180 Å³ per cell
calculated density = 9.1 g cm⁻³

4.
The following is a PBE calculation of crystalline AlGaCu2S4 at its relaxed geometry, from Alexandria.

Cell lengths 6.502, 6.502, 6.502 Å; angles 131.41, 131.41, 71.16 degrees
Positions (direct):
1 Cu 0.250 0.750 0.500
2 S 0.871 0.376 0.000
3 Ga 0.750 0.250 0.500
4 S 0.624 0.624 0.495
5 S 0.129 0.129 0.505
6 S 0.376 0.871 0.000
7 Al 0.500 0.500 0.000
8 Cu 0.000 0.000 0.000

E_form (uncorrected) = -697 meV/atom
V = 151 Å³ per cell
excess energy over the best structure of this formula in the dataset = 0 meV per atom
calculated density = 3.9 g cm⁻³

5.
The following is a PBE calculation of crystalline AlGaCu2S4 at its relaxed geometry, from Alexandria.

Cell lengths 5.295, 5.295, 6.563 Å; angles 113.80, 113.80, 90.00 degrees
Positions (direct):
1 Cu 0.250 0.750 0.500
2 S 0.879 0.372 0.251
3 Al 0.000 0.000 0.000
4 S 0.372 0.879 0.251
5 S 0.121 0.121 0.749
6 Cu 0.750 0.250 0.500
7 S 0.627 0.627 0.749
8 Ga 0.500 0.500 0.000

E_form (uncorrected) = -686 meV/atom
V = 151 Å³ per cell
excess energy over the best structure of this formula in the dataset = 11 meV per atom
calculated density = 3.9 g cm⁻³

6.
The following is a PBE calculation of crystalline ScAlGaCu at its relaxed geometry, from Alexandria.

Cell lengths 4.514, 4.514, 4.514 Å; angles 60.00, 60.00, 60.00 degrees
Positions (direct):
1 Ga 0.250 0.250 0.250
2 Sc 0.000 0.000 0.000
3 Al 0.500 0.500 0.500
4 Cu 0.750 0.750 0.750

formation energy = -332 meV/atom
V = 65 Å³ per cell
calculated density = 5.2 g cm⁻³

7.
The following is a PBE calculation of crystalline ScAl2GaCu at its relaxed geometry, from Alexandria.

Cell lengths 5.373, 5.373, 4.769 Å; angles 90.00, 90.00, 90.00 degrees
Positions (direct):
1 Sc 0.000 0.000 0.000
2 Ga 0.500 0.500 0.500
3 Cu 0.000 0.000 0.500
4 Al 0.000 0.500 0.000
5 Al 0.500 0.000 0.000

formation energy = 964 meV/atom
V = 138 Å³ per cell
calculated density = 2.8 g cm⁻³

8.
The following is a PBE calculation of crystalline Sc4AlGaCu2 at its relaxed geometry, from Alexandria.

Cell lengths 4.705, 4.705, 8.168 Å; angles 73.26, 73.26, 60.00 degrees
Positions (direct):
1 Cu 0.743 0.743 0.770
2 Ga 0.500 0.500 0.500
3 Sc 0.377 0.377 0.870
4 Sc 0.874 0.874 0.379
5 Sc 0.126 0.126 0.621
6 Al 0.000 0.000 0.000
7 Cu 0.257 0.257 0.230
8 Sc 0.623 0.623 0.130

formation energy = -413 meV/atom
V = 148 Å³ per cell
calculated density = 4.5 g cm⁻³

9.
The following is a PBE calculation of crystalline Sc2AlGa3Cu4 at its relaxed geometry, from Alexandria.

Cell lengths 3.907, 3.907, 10.560 Å; angles 90.00, 90.00, 90.00 degrees
Positions (direct):
1 Cu 0.500 0.500 0.000
2 Ga 0.000 0.000 0.500
3 Al 0.500 0.500 0.500
4 Sc 0.000 0.500 0.749
5 Sc 0.500 0.000 0.251
6 Cu 0.000 0.000 0.000
7 Cu 0.500 0.000 0.641
8 Ga 0.000 0.500 0.139
9 Ga 0.500 0.000 0.861
10 Cu 0.000 0.500 0.359

formation energy = -344 meV/atom
V = 161 Å³ per cell
calculated density = 6.0 g cm⁻³

10.
The following is a PBE calculation of crystalline AlGaCu2Se4 at its relaxed geometry, from Alexandria.

Cell lengths 5.609, 5.609, 6.942 Å; angles 113.83, 113.83, 90.01 degrees
Positions (direct):
1 Al 0.000 0.000 0.000
2 Cu 0.250 0.750 0.500
3 Cu 0.750 0.250 0.500
4 Se 0.375 0.881 0.256
5 Se 0.881 0.375 0.256
6 Se 0.625 0.625 0.744
7 Ga 0.500 0.500 0.000
8 Se 0.119 0.119 0.744

E_form (uncorrected) = -545 meV/atom
V = 179 Å³ per cell
excess energy over the best structure of this formula in the dataset = 12 meV per atom
calculated density = 5.0 g cm⁻³

11.
The following is a PBE calculation of crystalline AlGaCu2Se4 at its relaxed geometry, from Alexandria.

Cell lengths 6.883, 6.883, 6.883 Å; angles 131.42, 131.42, 71.14 degrees
Positions (direct):
1 Al 0.500 0.500 0.000
2 Se 0.624 0.628 0.500
3 Se 0.876 0.376 0.005
4 Cu 0.250 0.750 0.500
5 Se 0.372 0.871 0.995
6 Se 0.129 0.124 0.500
7 Cu 0.000 0.000 0.000
8 Ga 0.750 0.250 0.500

E_form (uncorrected) = -557 meV/atom
V = 179 Å³ per cell
excess energy over the best structure of this formula in the dataset = 0 meV per atom
calculated density = 5.0 g cm⁻³

12.
The following is a PBE calculation of crystalline Al2Ga2Cu7Si at its relaxed geometry, from Alexandria.

Cell lengths 3.816, 3.816, 12.540 Å; angles 73.60, 73.60, 94.55 degrees
Positions (direct):
1 Cu 0.651 0.151 0.849
2 Al 0.807 0.807 0.692
3 Cu 0.849 0.349 0.151
4 Si 0.000 0.000 0.000
5 Ga 0.688 0.688 0.312
6 Ga 0.312 0.312 0.688
7 Cu 0.349 0.849 0.151
8 Cu 0.500 0.500 0.000
9 Cu 0.754 0.754 0.500
10 Cu 0.151 0.651 0.849
11 Al 0.193 0.193 0.308
12 Cu 0.246 0.246 0.500

E_form (uncorrected) = -34 meV/atom
V = 165 Å³ per cell
calculated density = 6.7 g cm⁻³

13.
The following is a PBE calculation of crystalline Al2GaCu7Si2 at its relaxed geometry, from Alexandria.

Cell lengths 3.787, 3.787, 12.470 Å; angles 73.55, 73.55, 93.94 degrees
Positions (direct):
1 Al 0.183 0.183 0.317
2 Cu 0.164 0.665 0.836
3 Cu 0.741 0.741 0.500
4 Ga 0.000 0.000 0.000
5 Cu 0.500 0.500 0.000
6 Cu 0.335 0.836 0.164
7 Cu 0.259 0.259 0.500
8 Si 0.688 0.688 0.312
9 Cu 0.665 0.164 0.836
10 Si 0.312 0.312 0.688
11 Cu 0.836 0.335 0.164
12 Al 0.817 0.817 0.683

E_form (uncorrected) = -38 meV/atom
V = 162 Å³ per cell
calculated density = 6.4 g cm⁻³

14.
The following is a PBE calculation of crystalline SmAlGaCu at its relaxed geometry, from Alexandria.

Cell lengths 4.745, 4.745, 4.745 Å; angles 60.00, 60.00, 60.00 degrees
Positions (direct):
1 Al 0.000 0.000 0.000
2 Ga 0.750 0.750 0.750
3 Cu 0.250 0.250 0.250
4 Sm 0.500 0.500 0.500

formation energy = -314 meV/atom
V = 76 Å³ per cell
calculated density = 6.8 g cm⁻³

15.
The following is a PBE calculation of crystalline SmAlGaCu3 at its relaxed geometry, from Alexandria.

Cell lengths 5.764, 6.158, 6.713 Å; angles 117.30, 90.00, 90.00 degrees
Positions (direct):
1 Cu 0.000 0.300 0.000
2 Ga 0.250 0.359 0.718
3 Sm 0.750 0.297 0.594
4 Cu 0.000 0.700 0.000
5 Al 0.250 0.951 0.902
6 Sm 0.250 0.703 0.406
7 Al 0.750 0.049 0.098
8 Cu 0.500 0.700 0.000
9 Cu 0.500 0.300 0.000
10 Cu 0.750 0.849 0.697
11 Cu 0.250 0.151 0.303
12 Ga 0.750 0.641 0.282

formation energy = -141 meV/atom
V = 212 Å³ per cell
calculated density = 6.9 g cm⁻³

16.
The following is a PBE calculation of crystalline Sm2AlGa4Cu3 at its relaxed geometry, from Alexandria.

Cell lengths 4.150, 4.150, 10.510 Å; angles 90.00, 90.00, 90.00 degrees
Positions (direct):
1 Ga 0.000 0.000 0.000
2 Cu 0.000 0.500 0.129
3 Ga 0.000 0.500 0.357
4 Sm 0.000 0.500 0.755
5 Cu 0.000 0.000 0.500
6 Cu 0.500 0.000 0.871
7 Sm 0.500 0.000 0.245
8 Al 0.500 0.500 0.500
9 Ga 0.500 0.000 0.643
10 Ga 0.500 0.500 0.000

formation energy = -486 meV/atom
V = 181 Å³ per cell
calculated density = 7.3 g cm⁻³

17.
The following is a PBE calculation of crystalline Sm2AlGa3Cu12 at its relaxed geometry, from Alexandria.

Cell lengths 7.474, 7.474, 7.474 Å; angles 65.94, 65.94, 65.94 degrees
Positions (direct):
1 Ga 0.500 0.000 0.000
2 Cu 0.351 0.859 0.859
3 Sm 0.400 0.400 0.400
4 Cu 0.011 0.364 0.364
5 Al 0.000 0.000 0.000
6 Cu 0.859 0.351 0.859
7 Ga 0.000 0.000 0.500
8 Cu 0.364 0.364 0.011
9 Cu 0.859 0.859 0.351
10 Cu 0.141 0.141 0.649
11 Sm 0.600 0.600 0.600
12 Cu 0.636 0.636 0.989
13 Cu 0.636 0.989 0.636
14 Cu 0.141 0.649 0.141
15 Cu 0.364 0.011 0.364
16 Ga 0.000 0.500 0.000
17 Cu 0.989 0.636 0.636
18 Cu 0.649 0.141 0.141

formation energy = 204 meV/atom
V = 333 Å³ per cell
calculated density = 6.5 g cm⁻³

18.
The following is a PBE calculation of crystalline SmAlGa2Cu4 at its relaxed geometry, from Alexandria.

Cell lengths 4.181, 4.181, 8.826 Å; angles 76.30, 76.30, 60.00 degrees
Positions (direct):
1 Cu 0.133 0.133 0.602
2 Ga 0.247 0.247 0.258
3 Cu 0.595 0.595 0.214
4 Ga 0.753 0.753 0.742
5 Sm 0.000 0.000 0.000
6 Al 0.500 0.500 0.500
7 Cu 0.867 0.867 0.398
8 Cu 0.405 0.405 0.786

formation energy = -266 meV/atom
V = 129 Å³ per cell
calculated density = 7.4 g cm⁻³

19.
The following is a PBE calculation of crystalline SmAlGa4Cu2 at its relaxed geometry, from Alexandria.

Cell lengths 4.320, 4.320, 9.136 Å; angles 76.33, 76.33, 60.00 degrees
Positions (direct):
1 Cu 0.757 0.757 0.728
2 Cu 0.243 0.243 0.272
3 Ga 0.602 0.602 0.195
4 Al 0.500 0.500 0.500
5 Ga 0.876 0.876 0.372
6 Ga 0.398 0.398 0.805
7 Ga 0.124 0.124 0.628
8 Sm 0.000 0.000 0.000

formation energy = -199 meV/atom
V = 142 Å³ per cell
calculated density = 6.8 g cm⁻³

20.
The following is a PBE calculation of crystalline Sr2Al4GaCu3 at its relaxed geometry, from Alexandria.

Cell lengths 4.321, 4.321, 10.644 Å; angles 90.00, 90.00, 90.00 degrees
Positions (direct):
1 Al 0.000 0.500 0.364
2 Cu 0.000 0.000 0.500
3 Sr 0.000 0.500 0.751
4 Sr 0.500 0.000 0.249
5 Al 0.500 0.500 0.000
6 Al 0.500 0.000 0.636
7 Ga 0.500 0.500 0.500
8 Cu 0.000 0.500 0.126
9 Cu 0.500 0.000 0.874
10 Al 0.000 0.000 0.000

formation energy = -264 meV/atom
V = 199 Å³ per cell
calculated density = 4.5 g cm⁻³